Computed, not measured: an optimized crystal structure of KScO3 at the PBE-GGA level of DFT.

POSCAR file:
```
KScO3
1.0
4.122 0.000 0.000
0.000 4.122 0.000
0.000 0.000 4.122
K Sc O
1 1 3
direct
0.000 0.000 0.000
0.500 0.500 0.500
0.000 0.000 0.500
0.000 0.500 0.000
0.500 0.000 0.000
```

Space-group type = Pm-3m
D(E_F) = 1.5 states/eV/f.u.
Energy relative to the elements, uncorrected = 0.02 eV/atom